Entry 1:
Computed, not measured: a relaxed BaYAgF6 crystal at the PBE-GGA level of DFT. Values from VASP.

The structure in Quantum ESPRESSO input format:
```
&SYSTEM
  ibrav = 0, nat = 18, ntyp = 4
/
ATOMIC_SPECIES
Ba 137.33 Ba.upf
Y 88.91 Y.upf
Ag 107.87 Ag.upf
F 19.00 F.upf
ATOMIC_POSITIONS crystal
Ba 0.000 0.000 0.000
Ba 0.000 0.000 0.500
Y 0.667 0.333 0.250
Y 0.333 0.667 0.750
Ag 0.333 0.667 0.250
Ag 0.667 0.333 0.750
F 0.672 0.633 0.139
F 0.961 0.328 0.139
F 0.328 0.961 0.639
F 0.039 0.672 0.861
F 0.367 0.328 0.361
F 0.961 0.633 0.361
F 0.633 0.961 0.861
F 0.672 0.039 0.361
F 0.039 0.367 0.639
F 0.367 0.039 0.139
F 0.633 0.672 0.639
F 0.328 0.367 0.861
CELL_PARAMETERS angstrom
-5.812 1.585 1.137
1.268 -5.514 -2.361
0.866 -4.211 10.302
```

Computed properties:
* energy: -52.17 eV/f.u.

Entry 2:
Computed, not measured: a relaxed BaYAgF2 crystal at the PBE-GGA level of DFT. Values from VASP.

The structure in Quantum ESPRESSO input format:
```
&SYSTEM
  ibrav = 0, nat = 5, ntyp = 4
/
ATOMIC_SPECIES
Y 88.91 Y.upf
Ba 137.33 Ba.upf
Ag 107.87 Ag.upf
F 19.00 F.upf
ATOMIC_POSITIONS crystal
Y 0.000 0.500 0.000
Ba 0.500 0.500 0.500
Ag 0.000 0.000 0.000
F 0.000 0.000 0.500
F 0.500 0.000 0.000
CELL_PARAMETERS angstrom
5.036 0.000 0.000
0.000 5.454 0.000
0.000 0.000 5.036
```

Computed properties:
* energy: -18.42 eV/f.u.

Entry 3:
Computed, not measured: a relaxed BaZnAg2F6 crystal at the PBE-GGA level of DFT. Values from VASP.

The structure in Quantum ESPRESSO input format:
```
&SYSTEM
  ibrav = 0, nat = 20, ntyp = 4
/
ATOMIC_SPECIES
Ba 137.33 Ba.upf
Zn 65.41 Zn.upf
Ag 107.87 Ag.upf
F 19.00 F.upf
ATOMIC_POSITIONS crystal
Ba 0.500 0.000 0.000
Ba 0.000 0.500 0.500
Zn 0.500 0.000 0.500
Zn 0.000 0.500 0.000
Ag 0.017 0.945 0.253
Ag 0.517 0.555 0.753
Ag 0.983 0.055 0.747
Ag 0.483 0.445 0.247
F 0.283 0.657 0.059
F 0.783 0.843 0.559
F 0.717 0.343 0.941
F 0.217 0.157 0.441
F 0.351 0.722 0.411
F 0.851 0.778 0.911
F 0.649 0.278 0.589
F 0.149 0.222 0.089
F 0.868 0.594 0.215
F 0.368 0.906 0.715
F 0.132 0.406 0.785
F 0.632 0.094 0.285
CELL_PARAMETERS angstrom
-0.857 -5.508 -2.190
2.025 -2.456 5.382
-8.162 0.286 3.202
```

Computed properties:
* energy: -42.08 eV/f.u.

Entry 4:
Computed, not measured: a relaxed BaZnAgF6 crystal at the PBE-GGA level of DFT. Values from VASP.

The structure in Quantum ESPRESSO input format:
```
&SYSTEM
  ibrav = 0, nat = 9, ntyp = 4
/
ATOMIC_SPECIES
Ba 137.33 Ba.upf
Zn 65.41 Zn.upf
Ag 107.87 Ag.upf
F 19.00 F.upf
ATOMIC_POSITIONS crystal
Ba 0.008 0.996 0.001
Zn 0.350 0.325 0.500
Ag 0.670 0.666 0.501
F 0.015 0.360 0.295
F 0.356 0.017 0.694
F 0.616 0.341 0.730
F 0.018 0.625 0.706
F 0.356 0.627 0.306
F 0.611 0.043 0.267
CELL_PARAMETERS angstrom
-3.182 3.090 -3.487
-4.093 -2.492 -3.451
-3.643 0.733 4.163
```

Computed properties:
* energy: -39.07 eV/f.u.

Entry 5:
Computed, not measured: a relaxed BaZnAg2F crystal at the PBE-GGA level of DFT. Values from VASP.

The structure in Quantum ESPRESSO input format:
```
&SYSTEM
  ibrav = 0, nat = 5, ntyp = 4
/
ATOMIC_SPECIES
Zn 65.41 Zn.upf
Ba 137.33 Ba.upf
Ag 107.87 Ag.upf
F 19.00 F.upf
ATOMIC_POSITIONS crystal
Zn 0.000 0.000 0.000
Ba 0.500 0.500 0.500
Ag 0.000 0.000 0.500
Ag 0.500 0.000 0.000
F 0.000 0.500 0.000
CELL_PARAMETERS angstrom
-4.174 2.560 0.721
-0.694 -2.390 4.467
2.573 3.548 2.298
```

Computed properties:
* energy: -14.41 eV/f.u.

Entry 6:
Computed, not measured: a relaxed BaZnAg2F8 crystal at the PBE-GGA level of DFT. Values from VASP.

The structure in Quantum ESPRESSO input format:
```
&SYSTEM
  ibrav = 0, nat = 12, ntyp = 4
/
ATOMIC_SPECIES
Ba 137.33 Ba.upf
Zn 65.41 Zn.upf
Ag 107.87 Ag.upf
F 19.00 F.upf
ATOMIC_POSITIONS crystal
Ba 0.000 0.000 0.500
Zn 0.000 0.000 0.000
Ag 0.473 0.490 0.784
Ag 0.527 0.510 0.216
F 0.159 0.770 0.224
F 0.672 0.768 0.015
F 0.861 0.225 0.186
F 0.841 0.230 0.776
F 0.328 0.232 0.985
F 0.139 0.775 0.814
F 0.556 0.731 0.558
F 0.444 0.269 0.442
CELL_PARAMETERS angstrom
4.694 0.136 -0.004
0.192 5.333 0.319
0.004 0.450 7.848
```

Computed properties:
* energy: -48.75 eV/f.u.

Entry 7:
Computed, not measured: a relaxed Ba2ZnAgF crystal at the PBE-GGA level of DFT. Values from VASP.

The structure in Quantum ESPRESSO input format:
```
&SYSTEM
  ibrav = 0, nat = 5, ntyp = 4
/
ATOMIC_SPECIES
Zn 65.41 Zn.upf
Ba 137.33 Ba.upf
Ag 107.87 Ag.upf
F 19.00 F.upf
ATOMIC_POSITIONS crystal
Zn 0.500 0.500 0.500
Ba 0.000 0.000 0.500
Ba 0.500 0.000 0.000
Ag 0.000 0.500 0.000
F 0.000 0.000 0.000
CELL_PARAMETERS angstrom
-3.587 -4.040 0.016
3.654 -3.237 1.975
-1.506 1.356 5.009
```

Computed properties:
* energy: -14.58 eV/f.u.

Entry 8:
Computed, not measured: a relaxed BaZrAg2F8 crystal at the PBE-GGA level of DFT. Values from VASP.

The structure in Quantum ESPRESSO input format:
```
&SYSTEM
  ibrav = 0, nat = 12, ntyp = 4
/
ATOMIC_SPECIES
Ba 137.33 Ba.upf
Zr 91.22 Zr.upf
Ag 107.87 Ag.upf
F 19.00 F.upf
ATOMIC_POSITIONS crystal
Ba 0.000 0.000 0.500
Zr 0.000 0.000 0.000
Ag 0.500 0.500 0.745
Ag 0.500 0.500 0.255
F 0.119 0.793 0.196
F 0.626 0.783 0.000
F 0.881 0.207 0.196
F 0.881 0.207 0.804
F 0.374 0.217 0.000
F 0.119 0.793 0.804
F 0.499 0.749 0.500
F 0.501 0.251 0.500
CELL_PARAMETERS angstrom
4.555 -0.180 -0.002
-0.156 5.768 -0.006
0.004 0.009 7.975
```

Computed properties:
* energy: -64.82 eV/f.u.

Sequential energy relative to the elements, uncorrected output: -3.30, -0.69, -2.20, -2.42, -0.73, -2.07, -0.95, -2.81 eV per atom